The following is a DFT calculation (PBE) of LiAc3Zn6Ru2 after structural relaxation. Values from VASP.

Properties
The energy of formation from the pure elements comes out at -33 meV/atom. As for the total energy: -3.402 eV per atom. Its space group is P-3m1 (164).

```
&SYSTEM
  ibrav = 0, nat = 12, ntyp = 4
/
ATOMIC_SPECIES
Zn 65.41 Zn.upf
Ac 227.00 Ac.upf
Li 6.94 Li.upf
Ru 101.07 Ru.upf
CELL_PARAMETERS angstrom
6.220 0.000 0.000
-3.110 5.387 0.000
0.000 0.000 7.915
ATOMIC_POSITIONS crystal
Zn 0.386 0.193 0.626
Zn 0.807 0.614 0.626
Zn 0.193 0.386 0.374
Zn 0.807 0.193 0.626
Zn 0.193 0.807 0.374
Zn 0.614 0.807 0.374
Ac 0.333 0.667 0.776
Ac 0.000 0.000 0.000
Ac 0.667 0.333 0.224
Li 0.000 0.000 0.500
Ru 0.667 0.333 0.883
Ru 0.333 0.667 0.117
```

The following is a DFT calculation (PBE) of Li2AcS2 after structural relaxation. Values from VASP.

Properties
For the uncorrected formation energy, the calculation gives -1424 meV per atom. As for the total energy: -4.662 eV per atom. Its space group is R-3m (166).

```
&SYSTEM
  ibrav = 0, nat = 5, ntyp = 3
/
ATOMIC_SPECIES
Ac 227.00 Ac.upf
Li 6.94 Li.upf
S 32.06 S.upf
CELL_PARAMETERS angstrom
4.047 0.000 0.000
2.024 3.505 0.000
2.024 1.168 8.142
ATOMIC_POSITIONS crystal
Ac 0.000 0.000 0.000
Li 0.224 0.224 0.329
Li 0.776 0.776 0.671
S 0.415 0.415 0.755
S 0.585 0.585 0.245
```

The following is a DFT calculation (PBE) of LiAcS2 after structural relaxation. Values from VASP.

Properties
For the uncorrected formation energy, the calculation gives -1447 meV per atom. As for the total energy: -5.017 eV per atom. Its space group is P4/mmm (123).

```
&SYSTEM
  ibrav = 0, nat = 4, ntyp = 3
/
ATOMIC_SPECIES
Li 6.94 Li.upf
Ac 227.00 Ac.upf
S 32.06 S.upf
CELL_PARAMETERS angstrom
3.646 0.000 0.000
0.000 3.646 0.000
0.000 0.000 7.130
ATOMIC_POSITIONS crystal
Li 0.500 0.500 0.000
Ac 0.500 0.500 0.500
S 0.000 0.000 0.256
S 0.000 0.000 0.744
```

The following is a DFT calculation (PBE) of LiAc3S after structural relaxation. Values from VASP.

Properties
For the uncorrected formation energy, the calculation gives -562 meV per atom. As for the total energy: -4.236 eV per atom. Its space group is Pm-3m (221).

```
&SYSTEM
  ibrav = 0, nat = 5, ntyp = 3
/
ATOMIC_SPECIES
Ac 227.00 Ac.upf
Li 6.94 Li.upf
S 32.06 S.upf
CELL_PARAMETERS angstrom
-0.782 5.648 -1.186
-4.497 -1.347 -3.447
-3.617 0.453 4.542
ATOMIC_POSITIONS crystal
Ac 0.000 0.000 0.500
Ac 0.500 0.000 0.000
Ac 0.000 0.500 0.000
Li 0.500 0.500 0.500
S 0.000 0.000 0.000
```

The following is a DFT calculation (PBE) of LiAcS2 after structural relaxation. Values from VASP.

Properties
For the uncorrected formation energy, the calculation gives -1728 meV per atom. As for the total energy: -5.297 eV per atom. Its space group is P4/nmm (129).

```
&SYSTEM
  ibrav = 0, nat = 8, ntyp = 3
/
ATOMIC_SPECIES
S 32.06 S.upf
Li 6.94 Li.upf
Ac 227.00 Ac.upf
CELL_PARAMETERS angstrom
4.300 0.000 0.000
0.000 4.301 0.000
0.000 0.000 11.630
ATOMIC_POSITIONS crystal
S 0.500 0.000 0.395
S 0.000 0.500 0.605
S 0.000 0.500 0.115
S 0.500 0.000 0.885
Li 0.000 0.000 0.500
Li 0.500 0.500 0.500
Ac 0.000 0.500 0.838
Ac 0.500 0.000 0.162
```

The following is a DFT calculation (PBE) of LiAc2S4 after structural relaxation. Values from VASP.

Properties
For the uncorrected formation energy, the calculation gives -1808 meV per atom. As for the total energy: -5.614 eV per atom. Its space group is P2_1/m (11).

```
&SYSTEM
  ibrav = 0, nat = 14, ntyp = 3
/
ATOMIC_SPECIES
S 32.06 S.upf
Ac 227.00 Ac.upf
Li 6.94 Li.upf
CELL_PARAMETERS angstrom
-0.464 -6.642 -2.574
5.693 -0.085 -0.807
1.204 -0.557 8.560
ATOMIC_POSITIONS crystal
S 0.930 0.250 0.097
S 0.070 0.750 0.903
S 0.933 0.250 0.618
S 0.067 0.750 0.382
S 0.508 0.009 0.257
S 0.508 0.491 0.257
S 0.492 0.509 0.743
S 0.492 0.991 0.743
Ac 0.777 0.750 0.567
Ac 0.223 0.250 0.433
Ac 0.752 0.750 0.065
Ac 0.248 0.250 0.935
Li 0.760 0.250 0.814
Li 0.240 0.750 0.186
```

The following is a DFT calculation (PBE) of Li2Ac3S6 after structural relaxation. Values from VASP.

Properties
For the uncorrected formation energy, the calculation gives -1761 meV per atom. As for the total energy: -5.481 eV per atom. Its space group is I4/mmm (139).

```
&SYSTEM
  ibrav = 0, nat = 11, ntyp = 3
/
ATOMIC_SPECIES
S 32.06 S.upf
Ac 227.00 Ac.upf
Li 6.94 Li.upf
CELL_PARAMETERS angstrom
4.654 0.000 0.000
0.000 4.654 0.000
-2.327 -2.327 11.927
ATOMIC_POSITIONS crystal
S 0.582 0.082 0.164
S 0.918 0.418 0.836
S 0.418 0.918 0.836
S 0.704 0.704 0.408
S 0.082 0.582 0.164
S 0.296 0.296 0.592
Ac 0.173 0.173 0.345
Ac 0.827 0.827 0.655
Ac 0.000 0.000 0.000
Li 0.396 0.396 0.792
Li 0.604 0.604 0.208
```

The following is a DFT calculation (PBE) of LiAcS2 after structural relaxation. Values from VASP.

Properties
For the uncorrected formation energy, the calculation gives -1881 meV per atom. As for the total energy: -5.450 eV per atom. Its space group is P2_1/c (14).

```
&SYSTEM
  ibrav = 0, nat = 16, ntyp = 3
/
ATOMIC_SPECIES
Ac 227.00 Ac.upf
S 32.06 S.upf
Li 6.94 Li.upf
CELL_PARAMETERS angstrom
-0.929 6.375 3.204
3.188 -3.708 5.154
6.794 2.279 -2.563
ATOMIC_POSITIONS crystal
Ac 0.696 0.798 0.932
Ac 0.804 0.202 0.432
Ac 0.196 0.798 0.568
Ac 0.304 0.202 0.068
S 0.487 0.910 0.263
S 0.298 0.573 0.869
S 0.202 0.427 0.369
S 0.987 0.910 0.237
S 0.702 0.427 0.131
S 0.013 0.090 0.763
S 0.798 0.573 0.631
S 0.513 0.090 0.737
Li 0.806 0.327 0.854
Li 0.194 0.673 0.146
Li 0.694 0.673 0.354
Li 0.306 0.327 0.646
```